# 1
Material: CsNaPbI4
Method: DFT, PBE
State: relaxed

Lattice parameters (Å, degrees): 8.4344 8.5808 10.3178 90.00 106.32 90.00
Element x y z (fractional)
Cs 0.2100 0.2500 0.0425
Cs 0.7900 0.7500 0.9575
Na 0.2611 0.7500 0.3456
Na 0.7389 0.2500 0.6544
Pb 0.1960 0.2500 0.5527
Pb 0.8040 0.7500 0.4473
I 0.0095 0.5045 0.7082
I 0.0095 0.9955 0.7082
I 0.4699 0.2500 0.3952
I 0.4969 0.2500 0.8226
I 0.5031 0.7500 0.1774
I 0.5301 0.7500 0.6048
I 0.9905 0.0045 0.2918
I 0.9905 0.4955 0.2918

## Properties
Size of the total moment (μB per formula unit): 0.0
Energy relative to the elements, uncorrected (eV/atom): -1.020
Density (Mg/m³): 4.035
DOS(E_F) (states/eV/cell): 0.00
Uncorrected energy (eV/atom): -2.746


# 2
Material: Cs2NaPbI5
Method: DFT, PBE
State: relaxed

Lattice parameters (Å, degrees): 11.3966 11.3966 16.3834 90.00 90.00 154.76
Element x y z (fractional)
Cs 0.0940 0.9060 0.5000
Cs 0.1304 0.8696 0.1346
Cs 0.8696 0.1304 0.6346
Cs 0.9060 0.0940 0.0000
Na 0.4381 0.5619 0.2848
Na 0.5619 0.4381 0.7848
Pb 0.2198 0.7802 0.8575
Pb 0.7802 0.2198 0.3575
I 0.0720 0.9280 0.8936
I 0.2695 0.7305 0.4916
I 0.3005 0.6995 0.2264
I 0.3607 0.6393 0.8259
I 0.4992 0.5008 0.1215
I 0.5008 0.4992 0.6215
I 0.6393 0.3607 0.3259
I 0.6995 0.3005 0.7264
I 0.7305 0.2695 0.9916
I 0.9280 0.0720 0.3936

## Properties
Size of the total moment (μB per formula unit): 0.0
Energy relative to the elements, uncorrected (eV/atom): -1.182
Density (Mg/m³): 4.137
DOS(E_F) (states/eV/cell): 0.00
Uncorrected energy (eV/atom): -2.792


# 3
Material: CsNaPb2I
Method: DFT, PBE
State: relaxed

Lattice parameters (Å, degrees): 6.2471 6.2471 6.8762 90.00 90.00 90.00
Element x y z (fractional)
Cs 0.0000 0.0000 0.0000
Na 0.5000 0.5000 0.0000
Pb 0.0000 0.5000 0.5000
Pb 0.5000 0.0000 0.5000
I 0.0000 0.0000 0.5000

## Properties
Size of the total moment (μB per formula unit): 0.0
Energy relative to the elements, uncorrected (eV/atom): 0.133
Density (Mg/m³): 4.314
DOS(E_F) (states/eV/cell): 4.32
Uncorrected energy (eV/atom): -2.094


# 4
Material: CsNa3Pb4I12
Method: DFT, PBE
State: relaxed

Lattice parameters (Å, degrees): 10.5385 10.5385 10.5385 109.47 109.47 109.47
Element x y z (fractional)
Cs 0.0000 0.0000 0.0000
Na 0.0000 0.5000 0.5000
Na 0.5000 0.0000 0.5000
Na 0.5000 0.5000 0.0000
Pb 0.0000 0.0000 0.5000
Pb 0.0000 0.5000 0.0000
Pb 0.5000 0.0000 0.0000
Pb 0.5000 0.5000 0.5000
I 0.1301 0.8215 0.3086
I 0.1785 0.3086 0.4872
I 0.1785 0.6914 0.8699
I 0.3086 0.1301 0.8215
I 0.3086 0.4872 0.1785
I 0.4872 0.1785 0.3086
I 0.5128 0.8215 0.6914
I 0.6914 0.5128 0.8215
I 0.6914 0.8699 0.1785
I 0.8215 0.3086 0.1301
I 0.8215 0.6914 0.5128
I 0.8699 0.1785 0.6914

## Properties
Size of the total moment (μB per formula unit): 0.0
Energy relative to the elements, uncorrected (eV/atom): -0.889
Density (Mg/m³): 4.706
DOS(E_F) (states/eV/cell): 0.00
Uncorrected energy (eV/atom): -2.801


# 5
Material: Cs3NaPb2I9
Method: DFT, PBE
State: relaxed

Lattice parameters (Å, degrees): 8.8975 8.8975 10.8668 90.00 90.00 120.00
Element x y z (fractional)
Cs 0.0000 0.0000 0.0000
Cs 0.3333 0.6667 0.6536
Cs 0.6667 0.3333 0.3464
Na 0.0000 0.0000 0.5000
Pb 0.3333 0.6667 0.1739
Pb 0.6667 0.3333 0.8261
I 0.0000 0.5000 0.0000
I 0.1682 0.3363 0.3348
I 0.1682 0.8318 0.3348
I 0.3363 0.1682 0.6652
I 0.5000 0.0000 0.0000
I 0.5000 0.5000 0.0000
I 0.6637 0.8318 0.3348
I 0.8318 0.1682 0.6652
I 0.8318 0.6637 0.6652

## Properties
Size of the total moment (μB per formula unit): 0.0
Energy relative to the elements, uncorrected (eV/atom): -1.002
Density (Mg/m³): 4.409
DOS(E_F) (states/eV/cell): 9.68
Uncorrected energy (eV/atom): -2.685


# 6
Material: Cs3Na3PbI8
Method: DFT, PBE
State: relaxed

Lattice parameters (Å, degrees): 10.4501 10.4501 10.4501 55.52 55.52 55.52
Element x y z (fractional)
Cs 0.0000 0.5000 0.5000
Cs 0.5000 0.0000 0.5000
Cs 0.5000 0.5000 0.0000
Na 0.0000 0.0000 0.5000
Na 0.0000 0.5000 0.0000
Na 0.5000 0.0000 0.0000
Pb 0.5000 0.5000 0.5000
I 0.2341 0.2341 0.2341
I 0.2374 0.7314 0.7314
I 0.2686 0.2686 0.7626
I 0.2686 0.7626 0.2686
I 0.7314 0.2374 0.7314
I 0.7314 0.7314 0.2374
I 0.7626 0.2686 0.2686
I 0.7659 0.7659 0.7659

## Properties
Size of the total moment (μB per formula unit): 0.0
Energy relative to the elements, uncorrected (eV/atom): -1.240
Density (Mg/m³): 3.881
DOS(E_F) (states/eV/cell): 0.00
Uncorrected energy (eV/atom): -2.749